No. 1
# LiY2Pd9 | Alexandria via LeMat-Bulk | PBE | relaxed
data_LiY2Pd9
_symmetry_space_group_name_H-M 'P 4/m m m'
_symmetry_Int_Tables_number 123
_symmetry_space_group_name_Hall '-P 4 2'
_cell_length_a 4.128
_cell_length_b 4.128
_cell_length_c 11.790
_cell_angle_alpha 90.00
_cell_angle_beta 90.00
_cell_angle_gamma 90.00
loop_
_atom_site_label
_atom_site_fract_x
_atom_site_fract_y
_atom_site_fract_z
Li1 0.000 0.000 0.000
Y1 0.000 0.000 0.325
Pd1 0.000 0.500 0.152
Pd2 0.000 0.500 0.500
Pd3 0.500 0.500 0.000
Pd4 0.500 0.500 0.325
# total energy = -0.2120 Ha/atom

***

No. 2
# NbInB2Br | Alexandria via LeMat-Bulk | PBE | relaxed
data_NbInB2Br
_symmetry_space_group_name_H-M 'P 4/m m m'
_symmetry_Int_Tables_number 123
_symmetry_space_group_name_Hall '-P 4 2'
_cell_length_a 4.378
_cell_length_b 4.378
_cell_length_c 5.571
_cell_angle_alpha 90.00
_cell_angle_beta 90.00
_cell_angle_gamma 90.00
loop_
_atom_site_label
_atom_site_fract_x
_atom_site_fract_y
_atom_site_fract_z
Nb1 0.000 0.000 0.000
In1 0.500 0.500 0.000
B1 0.000 0.500 0.500
Br1 0.500 0.500 0.500
# formation energy from raw total energies = 2.2418 eV per atom